1.
Entry from the Alexandria database: an optimized crystal structure of TbPr2TmBi4 (PBE-GGA).

Structure (extended XYZ):
```
8
Lattice="7.877 0.000 0.000 0.000 4.559 0.000 -2.636 0.000 7.438" Properties=species:S:1:pos:R:3 pbc="T T T"
Tb 0.000 0.000 0.000
Pr 2.620 0.000 3.719
Pr 3.938 2.279 0.000
Tm -1.318 2.279 3.719
Bi -0.091 0.000 5.533
Bi 1.227 2.279 1.847
Bi 4.014 2.279 5.592
Bi 5.332 0.000 1.905
```

Summary:
DOS at the Fermi energy (states/eV per atom): 0.15
Uncorrected energy (eV per atom): -5.164
Total magnetic moment (μB/f.u.): 0.000
DFT formation energy (kJ/mol of atoms): -85.91

---

2.
Entry from the Alexandria database: an optimized crystal structure of TbPr2YBi5 (PBE-GGA).

Structure (extended XYZ):
```
9
Lattice="5.463 0.000 0.000 0.000 5.463 0.000 0.000 0.000 11.946" Properties=species:S:1:pos:R:3 pbc="T T T"
Tb 0.000 0.000 0.000
Pr 2.732 2.732 2.676
Pr 2.732 2.732 9.269
Y 0.000 0.000 5.973
Bi 0.000 0.000 3.040
Bi 0.000 0.000 8.906
Bi 0.000 2.732 0.000
Bi 2.732 0.000 0.000
Bi 2.732 2.732 5.973
```

Summary:
DOS at the Fermi energy (states/eV per atom): 0.67
Uncorrected energy (eV per atom): -4.596
Total magnetic moment (μB/f.u.): 0.000
DFT formation energy (kJ/mol of atoms): -14.04

---

3.
Entry from the Alexandria database: an optimized crystal structure of Tb3Pr2YBi6 (PBE-GGA).

Structure (extended XYZ):
```
12
Lattice="9.896 -2.272 0.000 9.896 2.272 0.000 -2.078 0.000 8.844" Properties=species:S:1:pos:R:3 pbc="T T T"
Tb 0.000 0.000 0.000
Tb 5.186 0.000 5.892
Tb 12.528 0.000 2.951
Pr 6.267 0.000 1.484
Pr 11.447 0.000 7.359
Y -1.039 0.000 4.422
Bi 3.076 0.000 0.782
Bi 2.087 0.000 5.093
Bi 8.282 0.000 6.616
Bi 9.432 0.000 2.228
Bi 15.627 0.000 3.750
Bi 14.638 0.000 8.062
```

Summary:
DOS at the Fermi energy (states/eV per atom): 0.17
Uncorrected energy (eV per atom): -5.338
Total magnetic moment (μB/f.u.): 0.000
DFT formation energy (kJ/mol of atoms): -87.32

---

4.
Entry from the Alexandria database: an optimized crystal structure of Tb2PrY3Bi6 (PBE-GGA).

Structure (extended XYZ):
```
12
Lattice="3.910 -6.775 0.000 3.910 6.775 0.000 -2.608 0.000 7.365" Properties=species:S:1:pos:R:3 pbc="T T T"
Tb 3.910 4.505 0.000
Tb 3.910 -4.505 0.000
Pr 3.910 0.000 0.000
Y -1.304 0.000 3.682
Y 2.606 2.224 3.682
Y 2.606 -2.224 3.682
Bi -0.023 2.294 5.491
Bi 1.258 0.000 1.856
Bi -0.023 -2.294 5.491
Bi 5.236 2.294 1.874
Bi 3.955 0.000 5.509
Bi 5.236 -2.294 1.874
```

Summary:
DOS at the Fermi energy (states/eV per atom): 0.18
Uncorrected energy (eV per atom): -5.625
Total magnetic moment (μB/f.u.): 0.000
DFT formation energy (kJ/mol of atoms): -86.70

---

5.
Entry from the Alexandria database: an optimized crystal structure of Tb3PrY2Bi6 (PBE-GGA).

Structure (extended XYZ):
```
12
Lattice="9.838 -2.258 0.000 9.838 2.258 0.000 -2.066 0.000 8.791" Properties=species:S:1:pos:R:3 pbc="T T T"
Tb 0.000 0.000 0.000
Tb 5.203 0.000 5.873
Tb 12.408 0.000 2.918
Pr -1.033 0.000 4.396
Y 6.200 0.000 1.464
Y 11.410 0.000 7.327
Bi 3.109 0.000 0.725
Bi 2.127 0.000 5.139
Bi 9.320 0.000 2.136
Bi 8.291 0.000 6.656
Bi 15.484 0.000 3.652
Bi 14.502 0.000 8.066
```

Summary:
DOS at the Fermi energy (states/eV per atom): 0.17
Uncorrected energy (eV per atom): -5.469
Total magnetic moment (μB/f.u.): 0.000
DFT formation energy (kJ/mol of atoms): -86.40

---

6.
Entry from the Alexandria database: an optimized crystal structure of Pr4TcBi (PBE-GGA).

Structure (extended XYZ):
```
12
Lattice="4.553 -7.013 0.000 4.553 7.013 0.000 -2.355 0.000 6.041" Properties=species:S:1:pos:R:3 pbc="T T T"
Pr 1.351 4.646 5.681
Pr 1.040 1.002 3.842
Pr 4.222 4.646 3.380
Pr 2.217 -1.002 0.822
Pr 4.533 1.002 5.218
Pr 2.529 -4.646 2.661
Pr 5.711 -1.002 2.198
Pr 5.399 -4.646 0.360
Tc 3.964 6.998 1.510
Tc 2.786 -6.998 4.530
Bi 3.964 1.772 1.510
Bi 2.786 -1.772 4.530
```

Summary:
DOS at the Fermi energy (states/eV per atom): 1.05
Uncorrected energy (eV per atom): -5.858
Total magnetic moment (μB/f.u.): 0.000
DFT formation energy (kJ/mol of atoms): -28.68

---

7.
Entry from the Alexandria database: an optimized crystal structure of Pr3BiTe6 (PBE-GGA).

Structure (extended XYZ):
```
20
Lattice="6.153 -7.720 0.000 6.153 7.720 0.000 0.000 0.000 7.766" Properties=species:S:1:pos:R:3 pbc="T T T"
Pr 6.153 6.301 3.883
Pr 3.916 1.524 2.974
Pr 3.916 -1.524 6.857
Pr 8.390 1.524 2.974
Pr 8.390 -1.524 6.857
Pr 6.153 -6.301 0.000
Bi 6.153 2.741 6.754
Bi 6.153 -2.741 2.871
Te 4.052 4.107 5.152
Te 2.042 0.585 5.401
Te 2.042 -0.585 1.518
Te 6.153 3.621 1.910
Te 8.254 4.107 5.152
Te 6.153 0.062 4.872
Te 6.153 -0.062 0.989
Te 4.052 -4.107 1.269
Te 6.153 -3.621 5.793
Te 10.264 0.585 5.401
Te 10.264 -0.585 1.518
Te 8.254 -4.107 1.269
```

Summary:
Formation energy (no corrections) (eV per atom): -1.10
Uncorrected energy (eV per atom): -4.805
Total magnetic moment (μB/f.u.): 0.000

---

8.
Entry from the Alexandria database: an optimized crystal structure of PrBiTe (PBE-GGA).

Structure (extended XYZ):
```
12
Lattice="4.488 0.000 0.000 0.000 4.488 0.000 0.000 0.000 19.354" Properties=species:S:1:pos:R:3 pbc="T T T"
Pr 0.000 0.000 2.759
Pr 0.000 0.000 16.596
Pr 2.244 2.244 6.918
Pr 2.244 2.244 12.436
Bi 0.000 2.244 0.000
Bi 0.000 2.244 9.677
Bi 2.244 0.000 0.000
Bi 2.244 0.000 9.677
Te 0.000 0.000 6.056
Te 0.000 0.000 13.298
Te 2.244 2.244 3.621
Te 2.244 2.244 15.734
```

Summary:
Formation energy (no corrections) (eV per atom): -1.09
DOS at the Fermi energy (states/eV per atom): 0.46
Uncorrected energy (eV per atom): -5.021
Total magnetic moment (μB/f.u.): 0.000

---

9.
Entry from the Alexandria database: an optimized crystal structure of PrBiTe2 (PBE-GGA).

Structure (extended XYZ):
```
12
Lattice="4.357 0.000 0.000 -2.178 3.773 0.000 0.000 0.000 29.873" Properties=species:S:1:pos:R:3 pbc="T T T"
Pr 0.000 0.000 0.000
Pr 0.000 2.515 19.916
Pr 2.178 1.258 9.958
Bi 0.000 0.000 14.937
Bi 0.000 2.515 4.979
Bi 2.178 1.258 24.894
Te 0.000 0.000 11.875
Te 0.000 0.000 17.998
Te 0.000 2.515 1.917
Te 0.000 2.515 8.040
Te 2.178 1.258 21.833
Te 2.178 1.258 27.956
```

Summary:
Formation energy (no corrections) (eV per atom): -0.67
DOS at the Fermi energy (states/eV per atom): 0.30
Uncorrected energy (eV per atom): -4.406
Total magnetic moment (μB/f.u.): 0.000
Relative energy among the computed polymorphs (meV per atom): 0

---

10.
Entry from the Alexandria database: an optimized crystal structure of Pr2BiTe (PBE-GGA).

Structure (extended XYZ):
```
12
Lattice="4.488 0.000 0.000 -2.244 3.887 0.000 0.000 0.000 23.861" Properties=species:S:1:pos:R:3 pbc="T T T"
Pr 0.000 0.000 0.000
Pr 0.000 0.000 4.142
Pr 0.000 2.591 15.907
Pr 0.000 2.591 20.049
Pr 2.244 1.296 7.954
Pr 2.244 1.296 12.096
Bi 0.000 0.000 14.029
Bi 0.000 2.591 6.076
Bi 2.244 1.296 21.983
Te 0.000 0.000 10.001
Te 0.000 2.591 2.048
Te 2.244 1.296 17.955
```

Summary:
Formation energy (no corrections) (eV per atom): -1.16
DOS at the Fermi energy (states/eV per atom): 0.92
Uncorrected energy (eV per atom): -5.305
Total magnetic moment (μB/f.u.): 0.091
Relative energy among the computed polymorphs (meV per atom): 68

---

11.
Entry from the Alexandria database: an optimized crystal structure of Pr8Bi5Te (PBE-GGA).

Structure (extended XYZ):
```
14
Lattice="-4.857 4.857 4.878 4.857 -4.857 4.878 4.857 4.857 -4.878" Properties=species:S:1:pos:R:3 pbc="T T T"
Pr 6.628 0.699 0.511
Pr 4.164 3.118 -1.917
Pr 0.699 3.085 -0.511
Pr 0.693 1.739 2.961
Pr 1.739 -0.693 6.795
Pr 4.158 1.772 4.367
Pr 3.118 5.549 1.917
Pr -1.772 4.158 5.390
Bi 2.440 -1.197 3.661
Bi 3.659 2.416 1.217
Bi 2.416 6.054 -1.217
Bi 0.000 4.857 2.439
Bi 1.197 2.440 6.095
Te 0.000 0.000 0.000
```

Summary:
Formation energy (no corrections) (eV per atom): -0.91
DOS at the Fermi energy (states/eV per atom): 1.15
Uncorrected energy (eV per atom): -5.249
Total magnetic moment (μB/f.u.): 0.001

---

12.
Entry from the Alexandria database: an optimized crystal structure of Pr4Bi2Te (PBE-GGA).

Structure (extended XYZ):
```
14
Lattice="2.243 -7.534 0.000 2.243 7.534 0.000 0.000 0.000 14.930" Properties=species:S:1:pos:R:3 pbc="T T T"
Pr 0.000 0.000 0.000
Pr 0.000 0.000 7.465
Pr 2.243 3.360 9.375
Pr 2.243 3.360 13.019
Pr 2.243 0.660 3.732
Pr 2.243 -0.660 11.197
Pr 2.243 -3.360 1.910
Pr 2.243 -3.360 5.555
Bi 2.243 2.106 0.958
Bi 2.243 2.106 6.507
Bi 2.243 -2.106 8.423
Bi 2.243 -2.106 13.972
Te 2.243 5.930 3.732
Te 2.243 -5.930 11.197
```

Summary:
Formation energy (no corrections) (eV per atom): -0.82
DOS at the Fermi energy (states/eV per atom): 0.90
Uncorrected energy (eV per atom): -5.108
Total magnetic moment (μB/f.u.): 0.365
Relative energy among the computed polymorphs (meV per atom): 155